First-principles (PBE-GGA) data for crystalline TmThCoSe at its relaxed geometry, as listed in Alexandria via LeMat-Bulk.

Formation energy from raw total energies: -0.911 eV/atom

Structure (POSCAR):
```
TmThCoSe
1.0
1.9679 1.1362 7.1427
-1.9679 1.1362 7.1427
0.0000 -2.2723 7.1427
Tm Th Co Se
1 1 1 1
Cartesian
0.0000 0.0000 0.0000
0.0000 0.0000 17.2837
0.0000 0.0000 8.7237
0.0000 0.0000 5.1854
```

---

First-principles (PBE-GGA) data for crystalline La4Nd5Dy at its relaxed geometry, as listed in Alexandria via LeMat-Bulk.

Offset from the most stable computed form: 0 meV/atom

Structure (POSCAR):
```
La4Nd5Dy
1.0
10.7927 0.0000 0.0000
0.0000 10.7927 0.0000
0.0000 0.0000 6.0369
La Nd Dy
8 10 2
Cartesian
0.5296 8.0945 0.7779
2.6982 5.9259 5.2590
2.6982 10.2631 5.2590
4.8668 8.0945 0.7779
5.9259 2.6982 5.2590
8.0945 0.5296 0.7779
8.0945 4.8668 0.7779
10.2631 2.6982 5.2590
0.9824 0.9824 2.0970
0.9824 4.4139 2.0970
2.6982 8.0945 3.0185
4.4139 0.9824 2.0970
4.4139 4.4139 2.0970
6.3788 6.3788 3.9399
6.3788 9.8103 3.9399
8.0945 2.6982 3.0185
9.8103 6.3788 3.9399
9.8103 9.8103 3.9399
2.6982 2.6982 5.0629
8.0945 8.0945 0.9740
```

---

First-principles (PBE-GGA) data for crystalline Rb2OsCF6 at its relaxed geometry, as listed in Alexandria via LeMat-Bulk.

Formation energy from raw total energies: -1.209 eV/atom

Structure (POSCAR):
```
Rb2OsCF6
1.0
-2.8902 2.8902 5.0157
2.8902 -2.8902 5.0157
2.8902 2.8902 -5.0157
Rb Os C F
2 1 1 6
Cartesian
2.8902 0.0000 2.5078
0.0000 2.8902 2.5078
0.0000 0.0000 0.0000
0.0000 0.0000 5.0157
0.0000 0.0000 2.0113
1.4547 1.4547 0.0000
1.4355 -1.4355 5.0157
-1.4355 1.4355 5.0157
1.4355 1.4355 5.0157
0.0000 0.0000 8.0200
```

---

First-principles (PBE-GGA) data for crystalline Ni2AsOs at its relaxed geometry, as listed in Alexandria via LeMat-Bulk.

Structure (POSCAR):
```
Ni2AsOs
1.0
3.0514 0.0000 0.0000
0.0000 3.0514 0.0000
0.0000 0.0000 5.4657
Ni As Os
2 1 1
Cartesian
0.0000 0.0000 0.0000
1.5257 1.5257 1.2190
1.5257 1.5257 4.1642
0.0000 0.0000 2.6640
```

---

First-principles (PBE-GGA) data for crystalline TbNd3Th4Se8 at its relaxed geometry, as listed in Alexandria via LeMat-Bulk.

Formation energy from raw total energies: -1.674 eV/atom

Structure (POSCAR):
```
TbNd3Th4Se8
1.0
4.1467 2.3941 7.0255
-4.1467 2.3941 7.0255
0.0000 -4.7882 7.0255
Tb Nd Th Se
1 3 4 8
Cartesian
0.0000 0.0000 0.0000
-2.0734 -1.1971 7.0255
-2.0734 1.1971 14.0510
0.0000 2.3941 7.0255
-4.1467 0.0000 10.5382
-2.0734 1.1971 3.5127
2.0734 1.1971 3.5127
0.0000 0.0000 10.5382
0.0000 -2.4310 8.7429
-2.1053 1.2155 8.7429
-2.1053 -1.2155 12.3336
0.0000 0.0000 5.2821
0.0000 0.0000 15.7943
2.1053 1.2155 8.7429
2.1053 -1.2155 12.3336
0.0000 2.4310 12.3336
```

---

First-principles (PBE-GGA) data for crystalline Sb2TeOs at its relaxed geometry, as listed in Alexandria via LeMat-Bulk.

Formation energy from raw total energies: 0.610 eV/atom

Structure (POSCAR):
```
Sb2TeOs
1.0
1.6026 -2.7213 0.0000
1.6026 2.7213 0.0000
0.0000 0.0000 11.0094
Sb Te Os
2 1 1
Cartesian
0.0000 0.0000 0.0000
1.6026 0.0000 3.3436
1.6026 0.0000 7.7418
0.0000 0.0000 5.5540
```

---

First-principles (PBE-GGA) data for crystalline TaHgTeI2 at its relaxed geometry, as listed in Alexandria via LeMat-Bulk.

Formation energy from raw total energies: 1.298 eV/atom
Offset from the most stable computed form: 1233 meV/atom

Structure (POSCAR):
```
TaHgTeI2
1.0
5.6978 0.0000 0.0000
0.0000 5.6978 0.0000
0.0000 0.0000 5.7063
Ta Hg Te I
1 1 1 2
Cartesian
0.0000 0.0000 0.0000
2.8489 2.8489 2.8532
2.8489 2.8489 0.0000
0.0000 2.8489 2.8532
2.8489 0.0000 2.8532
```

---

First-principles (PBE-GGA) data for crystalline Cr2PdN at its relaxed geometry, as listed in Alexandria via LeMat-Bulk.

Formation energy from raw total energies: 0.048 eV/atom

Structure (POSCAR):
```
Cr2PdN
1.0
1.4257 0.8231 6.9936
-1.4257 0.8231 6.9936
0.0000 -1.6463 6.9936
Cr Pd N
2 1 1
Cartesian
0.0000 0.0000 2.4808
0.0000 0.0000 18.4999
0.0000 0.0000 0.0000
0.0000 0.0000 10.4904
```

---

First-principles (PBE-GGA) data for crystalline Rb2In2SnBr6 at its relaxed geometry, as listed in Alexandria via LeMat-Bulk.

Formation energy from raw total energies: -1.040 eV/atom

Structure (POSCAR):
```
Rb2In2SnBr6
1.0
7.2493 -4.2475 0.0000
7.2493 4.2475 0.0000
-4.1289 0.0000 7.8025
Rb In Sn Br
2 2 1 6
Cartesian
2.6095 0.0000 1.0623
7.7601 0.0000 6.7402
2.9448 0.0000 6.1722
7.4248 0.0000 1.6304
-2.0645 0.0000 3.9013
5.2770 2.1638 1.6813
0.8994 0.0000 3.9631
5.0926 2.1638 6.1212
5.2770 -2.1638 1.6813
9.4702 0.0000 3.8395
5.0926 -2.1638 6.1212
```

---

First-principles (PBE-GGA) data for crystalline Rb3Tb2TmO6 at its relaxed geometry, as listed in Alexandria via LeMat-Bulk.

Formation energy from raw total energies: -2.701 eV/atom

Structure (POSCAR):
```
Rb3Tb2TmO6
1.0
3.0365 -5.2594 0.0000
3.0365 5.2594 0.0000
-2.0245 0.0000 6.5592
Rb Tb Tm O
3 2 1 6
Cartesian
0.0000 0.0000 0.0000
3.0365 1.7495 0.0000
3.0365 -1.7495 0.0000
2.0242 3.5061 3.2796
2.0242 -3.5061 3.2796
2.0242 0.0000 3.2796
1.0286 1.7244 2.1324
0.0331 0.0000 4.4274
1.0286 -1.7244 2.1324
3.0199 1.7244 4.4268
4.0154 0.0000 2.1318
3.0199 -1.7244 4.4268
```

---

First-principles (PBE-GGA) data for crystalline FeNi6B at its relaxed geometry, as listed in Alexandria via LeMat-Bulk.

Structure (POSCAR):
```
FeNi6B
1.0
3.5251 2.0352 2.0894
-3.5251 2.0352 2.0894
0.0000 -4.0704 2.0894
Fe Ni B
1 6 1
Cartesian
0.0000 0.0000 0.0000
0.0000 -1.5959 2.1243
-1.3821 0.7980 2.1243
-1.3821 -0.7980 4.1438
1.3821 0.7980 2.1243
1.3821 -0.7980 4.1438
0.0000 1.5959 4.1438
0.0000 0.0000 3.1340
```

---

First-principles (PBE-GGA) data for crystalline Ca3N at its relaxed geometry, as listed in Alexandria via LeMat-Bulk.

Formation energy from raw total energies: -0.443 eV/atom

Structure (POSCAR):
```
Ca3N
1.0
-1.6499 5.3475 3.1789
1.6499 -5.3475 3.1789
1.6499 5.3475 -3.1789
Ca N
3 1
Cartesian
0.0000 0.0000 0.0000
1.6499 3.7897 -0.4999
0.0000 1.5578 2.6791
1.6499 0.0000 1.7756
```

---

First-principles (PBE-GGA) data for crystalline BaLaRe2 at its relaxed geometry, as listed in Alexandria via LeMat-Bulk.

Offset from the most stable computed form: 240 meV/atom

Structure (POSCAR):
```
BaLaRe2
1.0
3.1896 0.0000 0.0000
0.0000 4.0683 0.0000
-0.1341 0.0000 8.8141
Ba La Re
1 1 2
Cartesian
0.0000 0.0000 0.0000
2.6204 2.0342 5.1341
0.7190 0.0000 3.1834
1.8562 2.0342 2.4262
```

---

First-principles (PBE-GGA) data for crystalline ZnMoPt2 at its relaxed geometry, as listed in Alexandria via LeMat-Bulk.

Structure (POSCAR):
```
ZnMoPt2
1.0
4.5981 -1.3858 0.0000
4.5981 1.3858 0.0000
-0.6870 0.0000 4.8018
Zn Mo Pt
1 1 2
Cartesian
0.0000 0.0000 0.0000
1.7652 0.0000 3.3312
4.2448 0.0000 2.4201
6.7393 0.0000 0.9036
```

---

First-principles (PBE-GGA) data for crystalline Cu9Pd11Au4 at its relaxed geometry, as listed in Alexandria via LeMat-Bulk.

Structure (POSCAR):
```
Cu9Pd11Au4
1.0
7.0155 -8.9488 0.0000
7.0155 8.9488 0.0000
0.0000 0.0000 2.8220
Cu Pd Au
9 11 4
Cartesian
0.0000 0.0000 0.0000
5.2669 4.9390 0.0000
5.6733 1.7626 0.0000
8.7641 4.9390 0.0000
8.3577 1.7626 0.0000
5.6733 -1.7626 0.0000
5.2669 -4.9390 0.0000
8.3577 -1.7626 0.0000
8.7641 -4.9390 0.0000
3.9628 3.1491 1.4110
7.0155 6.4768 1.4110
7.0155 3.5559 1.4110
4.2498 0.0000 1.4110
3.9628 -3.1491 1.4110
7.0155 0.0000 1.4110
10.0682 3.1491 1.4110
9.7812 0.0000 1.4110
7.0155 -3.5559 1.4110
7.0155 -6.4768 1.4110
10.0682 -3.1491 1.4110
2.2253 1.4130 0.0000
2.2253 -1.4130 0.0000
11.8056 1.4130 0.0000
11.8056 -1.4130 0.0000
```

---

First-principles (PBE-GGA) data for crystalline MnAgTe3 at its relaxed geometry, as listed in Alexandria via LeMat-Bulk.

Formation energy from raw total energies: 0.559 eV/atom
Offset from the most stable computed form: 650 meV/atom

Structure (POSCAR):
```
MnAgTe3
1.0
5.0610 0.0000 0.0000
0.0000 5.0610 0.0000
0.0000 0.0000 5.0610
Mn Ag Te
1 1 3
Cartesian
0.0000 0.0000 0.0000
2.5305 2.5305 2.5305
0.0000 0.0000 2.5305
0.0000 2.5305 0.0000
2.5305 0.0000 0.0000
```

---

First-principles (PBE-GGA) data for crystalline Sr2In13 at its relaxed geometry, as listed in Alexandria via LeMat-Bulk.

Structure (POSCAR):
```
Sr2In13
1.0
4.4399 2.5634 7.0245
-4.4399 2.5634 7.0245
0.0000 -5.1267 7.0245
Sr In
2 13
Cartesian
0.0000 0.0000 5.1249
0.0000 0.0000 15.9485
0.0000 -3.3350 4.8550
-2.8882 1.6675 4.8550
0.0000 -1.9741 7.8104
-1.7096 0.9871 7.8104
-2.8882 -1.6675 16.2184
-1.7096 -0.9871 13.2630
0.0000 0.0000 10.5367
1.7096 0.9871 7.8104
2.8882 1.6675 4.8550
1.7096 -0.9871 13.2630
0.0000 1.9741 13.2630
2.8882 -1.6675 16.2184
0.0000 3.3350 16.2184
```

---

First-principles (PBE-GGA) data for crystalline KMgNi2Mo at its relaxed geometry, as listed in Alexandria via LeMat-Bulk.

Structure (POSCAR):
```
KMgNi2Mo
1.0
4.6358 0.0000 0.0000
0.0000 4.6358 0.0000
0.0000 0.0000 5.2241
K Mg Ni Mo
1 1 2 1
Cartesian
0.0000 0.0000 0.0000
2.3179 2.3179 0.0000
0.0000 2.3179 2.6120
2.3179 0.0000 2.6120
0.0000 0.0000 2.6120
```

---

First-principles (PBE-GGA) data for crystalline CaMgAl at its relaxed geometry, as listed in Alexandria via LeMat-Bulk.

Structure (POSCAR):
```
CaMgAl
1.0
3.4909 0.0000 0.0000
-1.7454 3.0232 0.0000
0.0000 0.0000 7.5673
Ca Mg Al
1 1 1
Cartesian
0.0000 0.0000 0.0000
0.0000 2.0155 2.9004
1.7454 1.0077 5.0978
```

---

First-principles (PBE-GGA) data for crystalline KBa2Zr at its relaxed geometry, as listed in Alexandria via LeMat-Bulk.

Offset from the most stable computed form: 279 meV/atom

Structure (POSCAR):
```
KBa2Zr
1.0
-2.8028 2.8028 6.0436
2.8028 -2.8028 6.0436
2.8028 2.8028 -6.0436
K Ba Zr
1 2 1
Cartesian
0.0000 0.0000 0.0000
0.0000 0.0000 6.0436
0.0000 2.8028 3.0218
2.8028 0.0000 3.0218
```

---

First-principles (PBE-GGA) data for crystalline NaZrRe3 at its relaxed geometry, as listed in Alexandria via LeMat-Bulk.

Offset from the most stable computed form: 0 meV/atom

Structure (POSCAR):
```
NaZrRe3
1.0
4.8864 0.0000 0.0000
0.0000 4.8864 0.0000
0.0000 0.0000 4.8864
Na Zr Re
1 1 3
Cartesian
0.0000 0.0000 0.0000
2.4432 2.4432 2.4432
0.0000 2.4432 2.4432
2.4432 0.0000 2.4432
2.4432 2.4432 0.0000
```

---

First-principles (PBE-GGA) data for crystalline Ir2C at its relaxed geometry, as listed in Alexandria via LeMat-Bulk.

Offset from the most stable computed form: 43 meV/atom

Structure (POSCAR):
```
Ir2C
1.0
4.7463 0.0000 0.0000
0.0000 4.8732 0.0000
0.0000 0.0000 3.1987
Ir C
4 2
Cartesian
0.7325 1.1995 0.0000
1.6406 3.6361 1.5993
3.1056 1.2370 1.5993
4.0138 3.6736 0.0000
0.0000 0.0000 1.5993
2.3731 2.4366 0.0000
```

---

First-principles (PBE-GGA) data for crystalline CdW3 at its relaxed geometry, as listed in Alexandria via LeMat-Bulk.

Offset from the most stable computed form: 287 meV/atom

Structure (POSCAR):
```
CdW3
1.0
4.6606 0.0000 0.0000
0.0000 5.7966 0.0000
0.0000 0.0000 5.0577
Cd W
2 6
Cartesian
1.1652 1.4491 0.8007
3.4955 4.3474 4.2570
1.1652 0.0748 3.3415
1.1652 2.8235 3.3415
1.1652 4.3474 1.0184
3.4955 1.4491 4.0392
3.4955 2.9731 1.7162
3.4955 5.7218 1.7162
```

---

First-principles (PBE-GGA) data for crystalline KRe2RhO8 at its relaxed geometry, as listed in Alexandria via LeMat-Bulk.

Formation energy from raw total energies: -1.449 eV/atom

Structure (POSCAR):
```
KRe2RhO8
1.0
4.6137 -3.0646 0.0000
4.6137 3.0646 0.0000
-0.4644 0.0000 7.8088
K Re Rh O
1 2 1 8
Cartesian
0.0000 0.0000 0.0000
3.0682 0.0000 5.6335
5.6947 0.0000 2.1753
-0.2322 0.0000 3.9044
1.8223 0.0000 4.3814
4.0591 1.4690 5.4555
4.7038 1.4690 2.3532
2.3108 0.0000 7.2188
6.4521 0.0000 0.5900
4.0591 -1.4690 5.4555
4.7038 -1.4690 2.3532
6.9405 0.0000 3.4274
```

---

| no. | electronic total energy (eV/atom) | total moment (μB per cell) |
| --- | --- | --- |
| 1 | -6.531 | 0.00 |
| 2 | -4.666 | 0.00 |
| 3 | -4.570 | 2.02 |
| 4 | -6.699 | 0.00 |
| 5 | -6.455 | 0.00 |
| 6 | -5.045 | 0.00 |
| 7 | -2.381 | 2.92 |
| 8 | -8.143 | 2.05 |
| 9 | -2.990 | 0.00 |
| 10 | -6.566 | 0.00 |
| 11 | -6.111 | 4.53 |
| 12 | -4.026 | 0.00 |
| 13 | -7.444 | 0.00 |
| 14 | -6.346 | 0.00 |
| 15 | -4.543 | 0.00 |
| 16 | -3.730 | 0.00 |
| 17 | -2.651 | 0.00 |
| 18 | -3.650 | 0.00 |
| 19 | -2.336 | 0.00 |
| 20 | -2.638 | 3.07 |
| 21 | -6.983 | 2.72 |
| 22 | -8.381 | 0.00 |
| 23 | -9.343 | 0.00 |
| 24 | -7.533 | 2.00 |